{"formula": "SrLa2Nb", "functional": "PBE-GGA", "state": "optimized geometry", "lattice_angstrom": [[0.0000, 3.9880, 3.9880], [3.9880, 0.0000, 3.9880], [3.9880, 3.9880, 0.0000]], "species": ["Sr", "Nb", "La", "La"], "fractional_positions": [[0.0000, 0.0000, 0.0000], [0.5000, 0.5000, 0.5000], [0.2500, 0.2500, 0.2500], [0.7500, 0.7500, 0.7500]], "de_polymorph_mev_per_atom": 0, "ef_ev_per_fu": 2.09}